No. 1
The following is a DFT calculation (PBE) of a geometry-optimized Pr3Y4Ho5 structure.

Geometry as POSCAR:
```
Pr3Y4Ho5
1.0
-0.9806 5.8813 0.2147
-8.3939 1.6235 0.0902
3.3610 3.2772 8.4808
Pr Y Ho
3 4 5
direct
0.5244 0.6851 0.2661 Pr
0.0000 0.5000 0.5000 Pr
0.4756 0.3149 0.7339 Pr
0.8591 0.2225 0.0593 Y
0.1698 0.0376 0.6227 Y
0.8302 0.9624 0.3773 Y
0.1409 0.7775 0.9407 Y
0.6229 0.9502 0.8040 Ho
0.5000 0.5000 0.5000 Ho
0.2145 0.4569 0.1140 Ho
0.7855 0.5431 0.8860 Ho
0.3771 0.0498 0.1960 Ho
```

formation energy = 266 kJ/mol of formula units
distance to the lowest polymorph of the same formula = 211.1 meV/atom
DOS(E_F) = 19.9 states/eV/cell
spin magnetization = 0.0 μB/f.u.
raw total energy = -5.0272 eV/atom

---

No. 2
The following is a DFT calculation (PBE) of a geometry-optimized KSbTe2 structure.

Geometry as POSCAR:
```
KSbTe2
1.0
3.8596 0.0000 0.0000
0.0000 3.8596 0.0000
0.0000 0.0000 9.5899
K Sb Te
1 1 2
direct
0.0000 0.0000 0.5012 K
0.5000 0.5000 0.8024 Sb
0.0000 0.0000 0.9324 Te
0.5000 0.5000 0.2640 Te
```

raw formation energy = -0.15 eV/atom
DOS(E_F) = 1.4 states/eV/cell
spin magnetization = 0.0 μB/f.u.
raw total energy = -3.0277 eV/atom

---

No. 3
The following is a DFT calculation (PBE) of a geometry-optimized Sr2InNi structure.

Geometry as POSCAR:
```
Sr2InNi
1.0
-2.3374 -0.7267 -2.7267
-1.1847 -2.9603 1.8054
-6.3018 5.0034 4.0685
In Ni Sr
1 1 2
direct
0.0000 0.0000 0.5726 In
0.5000 0.5000 0.6847 Ni
0.0000 0.0000 0.9240 Sr
0.5000 0.5000 0.3187 Sr
```

formation energy = -16 kJ/mol of formula units
DOS(E_F) = 4.0 states/eV/cell
spin magnetization = 0.0 μB/f.u.
raw total energy = -3.0115 eV/atom

---

No. 4
The following is a DFT calculation (PBE) of a geometry-optimized SrAl3Tc structure.

Geometry as POSCAR:
```
SrAl3Tc
1.0
5.1461 0.0028 -0.0040
-0.0037 6.6120 -0.0001
-0.0926 -3.3066 6.2700
Sr Al Tc
2 6 2
direct
0.3429 0.4855 0.6961 Sr
0.3469 0.7873 0.3008 Sr
0.8449 0.1364 0.4983 Al
0.2041 0.2223 0.1708 Al
0.4852 0.0504 0.8260 Al
0.8449 0.6362 0.4983 Al
0.8448 0.8372 0.9983 Al
0.8449 0.4354 0.9984 Al
0.9832 0.0226 0.7709 Tc
0.7060 0.2500 0.2256 Tc
```

formation energy = -139 kJ/mol of formula units
distance to the lowest polymorph of the same formula = 34.9 meV/atom
DOS(E_F) = 5.1 states/eV/cell
spin magnetization = 0.2 μB/f.u.
raw total energy = -4.9424 eV/atom

---

Question: What is the DOS(E_F) in the third record?
Answer: 4.0 states/eV/cell

---

Question: What is the DOS(E_F) in the second record?
Answer: 1.4 states/eV/cell

---

Question: Which value of spin magnetization does entry 2 give?
Answer: 0.0 μB/f.u.

---

Question: Among the records above, which one has the lowest raw total energy?
Answer: Pr3Y4Ho5